(1)
Rb3BaGe: relaxed, GGA-PBEsol.

a b c (Å): 6.862 6.862 6.862
angles (deg): 90.00 90.00 90.00
Last column: magnetic moment on the atom in μB.
Positions (direct):
Ge (0.000, 0.000, 0.000)  0.46
Ba (0.500, 0.500, 0.500)  -0.04
Rb (0.000, 0.500, 0.000)  0.02
Rb (0.000, 0.000, 0.500)  0.02
Rb (0.500, 0.000, 0.000)  0.02

Values from the calculation:
DFT formation energy: 0.332 eV/atom
SG: Pm-3m (221)
Total magnetization: 1.05 μB/f.u.

(2)
BaRe3Ge: relaxed, GGA-PBEsol.

a b c (Å): 4.725 4.725 4.725
angles (deg): 90.00 90.00 90.00
Last column: magnetic moment on the atom in μB.
Positions (direct):
Re (0.000, 0.500, 0.000)  0.86
Re (0.000, 0.000, 0.500)  0.86
Re (0.500, 0.000, 0.000)  0.86
Ge (0.000, 0.000, 0.000)  -0.02
Ba (0.500, 0.500, 0.500)  0.08

Values from the calculation:
DFT formation energy: 1.717 eV/atom
SG: Pm-3m (221)
Total magnetization: 3.08 μB/f.u.

(3)
BaGe2Rh2: relaxed, GGA-PBEsol.

a b c (Å): 4.166 4.166 6.592
angles (deg): 108.42 108.42 90.00
Positions (direct):
Ge (0.856, 0.856, 0.712)
Ge (0.144, 0.144, 0.288)
Rh (0.750, 0.250, 0.500)
Rh (0.250, 0.750, 0.500)
Ba (0.500, 0.500, 0.000)

Values from the calculation:
DFT formation energy: -0.749 eV/atom
SG: I4/mmm (139)
Total magnetization: 0.00 μB/f.u.

(4)
BaGe2Ru2: relaxed, GGA-PBEsol.

a b c (Å): 6.129 6.129 7.085
angles (deg): 103.34 103.34 117.82
Positions (direct):
Ba (0.500, 0.500, 0.000)
Ba (0.750, 0.250, 0.500)
Ge (0.178, 0.822, 0.000)
Ge (0.822, 0.178, 0.000)
Ge (0.072, 0.928, 0.500)
Ge (0.428, 0.572, 0.500)
Ru (0.878, 0.878, 0.756)
Ru (0.122, 0.122, 0.244)
Ru (0.128, 0.628, 0.256)
Ru (0.372, 0.872, 0.744)

Values from the calculation:
DFT formation energy: -0.437 eV/atom
SG: Fddd (70)
Total magnetization: 0.00 μB/f.u.

(5)
BaGeS2: relaxed, GGA-PBEsol.

a b c (Å): 3.691 3.691 8.955
angles (deg): 78.11 78.11 60.00
Last column: magnetic moment on the atom in μB.
Positions (direct):
S (0.886, 0.886, 0.342)  0.00
S (0.114, 0.114, 0.658)  0.00
Ge (0.500, 0.500, 0.500)  0.00
Ba (0.000, 0.000, 0.000)  0.07

Values from the calculation:
ΔE_f (raw): -153 kJ/mol of formula units
SG: R-3m (166)
Total magnetization: 0.18 μB/f.u.

(6)
Ba3GeS5: relaxed, GGA-PBEsol.

a b c (Å): 8.563 9.540 11.895
angles (deg): 90.00 90.00 90.00
Positions (direct):
Ba (0.076, 0.482, 0.317)
Ba (0.424, 0.018, 0.817)
Ba (0.924, 0.982, 0.683)
Ba (0.576, 0.518, 0.183)
Ba (0.924, 0.518, 0.683)
Ba (0.576, 0.982, 0.183)
Ba (0.076, 0.018, 0.317)
Ba (0.424, 0.482, 0.817)
Ba (0.613, 0.250, 0.480)
Ba (0.887, 0.250, 0.980)
Ba (0.387, 0.750, 0.520)
Ba (0.113, 0.750, 0.020)
Ge (0.306, 0.250, 0.099)
Ge (0.194, 0.250, 0.599)
Ge (0.694, 0.750, 0.901)
Ge (0.806, 0.750, 0.401)
S (0.179, 0.441, 0.054)
S (0.321, 0.059, 0.554)
S (0.821, 0.941, 0.946)
S (0.679, 0.559, 0.446)
S (0.821, 0.559, 0.946)
S (0.679, 0.941, 0.446)
S (0.179, 0.059, 0.054)
S (0.321, 0.441, 0.554)
S (0.521, 0.250, 0.999)
S (0.979, 0.250, 0.499)
S (0.479, 0.750, 0.001)
S (0.021, 0.750, 0.501)
S (0.348, 0.250, 0.283)
S (0.152, 0.250, 0.783)
S (0.652, 0.750, 0.717)
S (0.848, 0.750, 0.217)
S (0.817, 0.250, 0.236)
S (0.683, 0.250, 0.736)
S (0.183, 0.750, 0.764)
S (0.317, 0.750, 0.264)

Values from the calculation:
ΔE_f (raw): -1407 kJ/mol of formula units
SG: Pnma (62)
Total magnetization: 0.00 μB/f.u.

(7)
Ba2GeS4: relaxed, GGA-PBEsol.

a b c (Å): 6.762 8.908 12.345
angles (deg): 90.00 90.00 90.00
Positions (direct):
Ba (0.250, 0.623, 0.423)
Ba (0.750, 0.377, 0.577)
Ba (0.250, 0.123, 0.077)
Ba (0.750, 0.877, 0.923)
Ba (0.250, 0.984, 0.669)
Ba (0.750, 0.016, 0.331)
Ba (0.250, 0.484, 0.831)
Ba (0.750, 0.516, 0.169)
Ge (0.250, 0.226, 0.424)
Ge (0.750, 0.774, 0.576)
Ge (0.250, 0.726, 0.076)
Ge (0.750, 0.274, 0.924)
S (0.250, 0.981, 0.406)
S (0.750, 0.019, 0.594)
S (0.250, 0.481, 0.094)
S (0.750, 0.519, 0.906)
S (0.250, 0.316, 0.592)
S (0.750, 0.684, 0.408)
S (0.250, 0.816, 0.908)
S (0.750, 0.184, 0.092)
S (0.983, 0.326, 0.352)
S (0.483, 0.674, 0.648)
S (0.517, 0.826, 0.148)
S (0.017, 0.174, 0.852)
S (0.017, 0.674, 0.648)
S (0.517, 0.326, 0.352)
S (0.483, 0.174, 0.852)
S (0.983, 0.826, 0.148)

Values from the calculation:
ΔE_f (raw): -990 kJ/mol of formula units
SG: Pnma (62)
Total magnetization: 0.00 μB/f.u.

(8)
BaGe2S5: relaxed, GGA-PBEsol.

a b c (Å): 10.539 10.539 10.539
angles (deg): 60.00 60.00 60.00
Positions (direct):
Ba (0.625, 0.125, 0.625)
Ba (0.625, 0.625, 0.125)
Ba (0.625, 0.625, 0.625)
Ba (0.125, 0.625, 0.625)
Ge (0.251, 0.916, 0.916)
Ge (0.334, 0.334, 0.334)
Ge (0.334, 0.999, 0.334)
Ge (0.334, 0.334, 0.999)
Ge (0.916, 0.251, 0.916)
Ge (0.916, 0.916, 0.251)
Ge (0.916, 0.916, 0.916)
Ge (0.999, 0.334, 0.334)
S (0.426, 0.074, 0.074)
S (0.176, 0.824, 0.824)
S (0.426, 0.074, 0.426)
S (0.426, 0.426, 0.074)
S (0.074, 0.074, 0.426)
S (0.074, 0.426, 0.074)
S (0.824, 0.176, 0.176)
S (0.824, 0.824, 0.176)
S (0.176, 0.176, 0.824)
S (0.176, 0.824, 0.176)
S (0.824, 0.176, 0.824)
S (0.074, 0.426, 0.426)
S (0.748, 0.417, 0.417)
S (0.833, 0.833, 0.833)
S (0.833, 0.833, 0.502)
S (0.833, 0.502, 0.833)
S (0.417, 0.417, 0.748)
S (0.417, 0.748, 0.417)
S (0.417, 0.417, 0.417)
S (0.502, 0.833, 0.833)

Values from the calculation:
ΔE_f (raw): -650 kJ/mol of formula units
SG: Fd-3m (227)
Total magnetization: 0.00 μB/f.u.

(9)
Ba2GeSb4S10: relaxed, GGA-PBEsol.

a b c (Å): 11.278 11.278 13.428
angles (deg): 90.00 90.00 90.00
Positions (direct):
Ba (0.767, 0.267, 0.750)
Ba (0.267, 0.233, 0.250)
Ba (0.733, 0.767, 0.750)
Ba (0.767, 0.267, 0.250)
Ba (0.267, 0.233, 0.750)
Ba (0.733, 0.767, 0.250)
Ba (0.233, 0.733, 0.250)
Ba (0.233, 0.733, 0.750)
Ge (0.500, 0.500, 0.750)
Ge (0.500, 0.500, 0.250)
Ge (0.000, 0.000, 0.750)
Ge (0.000, 0.000, 0.250)
Sb (0.084, 0.365, 0.500)
Sb (0.365, 0.916, 0.000)
Sb (0.416, 0.865, 0.500)
Sb (0.865, 0.584, 0.000)
Sb (0.916, 0.635, 0.500)
Sb (0.635, 0.084, 0.000)
Sb (0.584, 0.135, 0.500)
Sb (0.135, 0.416, 0.000)
Sb (0.155, 0.034, 0.500)
Sb (0.034, 0.845, 0.000)
Sb (0.345, 0.534, 0.500)
Sb (0.534, 0.655, 0.000)
Sb (0.845, 0.966, 0.500)
Sb (0.966, 0.155, 0.000)
Sb (0.655, 0.466, 0.500)
Sb (0.466, 0.345, 0.000)
S (0.258, 0.229, 0.500)
S (0.229, 0.742, 0.000)
S (0.242, 0.729, 0.500)
S (0.729, 0.758, 0.000)
S (0.742, 0.771, 0.500)
S (0.771, 0.258, 0.000)
S (0.758, 0.271, 0.500)
S (0.271, 0.242, 0.000)
S (0.346, 0.482, 0.852)
S (0.482, 0.654, 0.352)
S (0.154, 0.982, 0.852)
S (0.982, 0.846, 0.352)
S (0.346, 0.482, 0.148)
S (0.482, 0.654, 0.648)
S (0.154, 0.982, 0.148)
S (0.982, 0.846, 0.648)
S (0.654, 0.518, 0.148)
S (0.518, 0.346, 0.648)
S (0.846, 0.018, 0.148)
S (0.018, 0.154, 0.648)
S (0.654, 0.518, 0.852)
S (0.518, 0.346, 0.352)
S (0.846, 0.018, 0.852)
S (0.018, 0.154, 0.352)
S (0.181, 0.478, 0.635)
S (0.478, 0.819, 0.135)
S (0.319, 0.978, 0.635)
S (0.978, 0.681, 0.135)
S (0.181, 0.478, 0.365)
S (0.478, 0.819, 0.865)
S (0.319, 0.978, 0.365)
S (0.978, 0.681, 0.865)
S (0.819, 0.522, 0.365)
S (0.522, 0.181, 0.865)
S (0.681, 0.022, 0.365)
S (0.022, 0.319, 0.865)
S (0.819, 0.522, 0.635)
S (0.522, 0.181, 0.135)
S (0.681, 0.022, 0.635)
S (0.022, 0.319, 0.135)

Values from the calculation:
ΔE_f (raw): -1281 kJ/mol of formula units
SG: P4_2/mbc (135)
Total magnetization: 0.00 μB/f.u.

(10)
Ba2Ge2Se5: relaxed, GGA-PBEsol.

a b c (Å): 9.043 9.122 12.490
angles (deg): 90.00 90.00 90.00
Positions (direct):
Ba (0.495, 0.878, 0.178)
Ba (0.505, 0.378, 0.322)
Ba (0.995, 0.122, 0.822)
Ba (0.005, 0.622, 0.678)
Ba (0.505, 0.122, 0.822)
Ba (0.495, 0.622, 0.678)
Ba (0.005, 0.878, 0.178)
Ba (0.995, 0.378, 0.322)
Ge (0.750, 0.972, 0.532)
Ge (0.250, 0.028, 0.468)
Ge (0.750, 0.528, 0.032)
Ge (0.250, 0.472, 0.968)
Ge (0.250, 0.818, 0.903)
Ge (0.750, 0.318, 0.597)
Ge (0.750, 0.182, 0.097)
Ge (0.250, 0.682, 0.403)
Se (0.250, 0.118, 0.282)
Se (0.750, 0.618, 0.218)
Se (0.750, 0.882, 0.718)
Se (0.250, 0.382, 0.782)
Se (0.750, 0.531, 0.492)
Se (0.750, 0.969, 0.992)
Se (0.250, 0.031, 0.008)
Se (0.250, 0.469, 0.508)
Se (0.250, 0.613, 0.220)
Se (0.750, 0.113, 0.280)
Se (0.750, 0.387, 0.780)
Se (0.250, 0.887, 0.720)
Se (0.039, 0.828, 0.443)
Se (0.961, 0.328, 0.057)
Se (0.539, 0.172, 0.557)
Se (0.461, 0.672, 0.943)
Se (0.961, 0.172, 0.557)
Se (0.039, 0.672, 0.943)
Se (0.461, 0.828, 0.443)
Se (0.539, 0.328, 0.057)

Values from the calculation:
ΔE_f (raw): -968 kJ/mol of formula units
SG: Pnma (62)
Total magnetization: 0.00 μB/f.u.

(11)
Ba2GeSe4: relaxed, GGA-PBEsol.

a b c (Å): 7.020 6.978 9.144
angles (deg): 109.11 90.00 90.00
Positions (direct):
Ba (0.750, 0.718, 0.924)
Ba (0.250, 0.282, 0.076)
Ba (0.750, 0.784, 0.452)
Ba (0.250, 0.216, 0.548)
Ge (0.250, 0.795, 0.711)
Ge (0.750, 0.205, 0.289)
Se (0.987, 0.014, 0.773)
Se (0.487, 0.986, 0.227)
Se (0.013, 0.986, 0.227)
Se (0.513, 0.014, 0.773)
Se (0.250, 0.632, 0.439)
Se (0.750, 0.368, 0.561)
Se (0.250, 0.589, 0.871)
Se (0.750, 0.411, 0.129)

Values from the calculation:
ΔE_f (raw): -909 kJ/mol of formula units
SG: P2_1/m (11)
Total magnetization: 0.00 μB/f.u.

(12)
Ba2GeTe2Se2: relaxed, GGA-PBEsol.

a b c (Å): 7.137 7.377 9.263
angles (deg): 108.42 90.00 90.00
Positions (direct):
Ba (0.750, 0.226, 0.056)
Ba (0.750, 0.222, 0.556)
Ba (0.250, 0.778, 0.444)
Ba (0.250, 0.774, 0.944)
Ge (0.750, 0.786, 0.698)
Ge (0.250, 0.214, 0.302)
Te (0.750, 0.610, 0.899)
Te (0.750, 0.613, 0.408)
Te (0.250, 0.387, 0.592)
Te (0.250, 0.390, 0.101)
Se (0.493, 0.999, 0.753)
Se (0.993, 0.001, 0.247)
Se (0.507, 0.001, 0.247)
Se (0.007, 0.999, 0.753)

Values from the calculation:
ΔE_f (raw): -812 kJ/mol of formula units
SG: P2_1/m (11)
Total magnetization: 0.00 μB/f.u.

(13)
BaSiGe: relaxed, GGA-PBEsol.

a b c (Å): 6.787 6.787 6.787
angles (deg): 90.00 90.00 90.00
Positions (direct):
Ba (0.371, 0.871, 0.629)
Ba (0.629, 0.371, 0.871)
Ba (0.871, 0.629, 0.371)
Ba (0.129, 0.129, 0.129)
Si (0.077, 0.577, 0.923)
Si (0.577, 0.923, 0.077)
Si (0.923, 0.077, 0.577)
Si (0.423, 0.423, 0.423)
Ge (0.671, 0.171, 0.329)
Ge (0.329, 0.671, 0.171)
Ge (0.171, 0.329, 0.671)
Ge (0.829, 0.829, 0.829)

Values from the calculation:
ΔE_f (raw): -130 kJ/mol of formula units
SG: P2_13 (198)
Total magnetization: 0.00 μB/f.u.

(14)
BaSn3Ge: relaxed, GGA-PBEsol.

a b c (Å): 5.413 5.413 5.413
angles (deg): 90.00 90.00 90.00
Positions (direct):
Ge (0.000, 0.000, 0.000)
Ba (0.500, 0.500, 0.500)
Sn (0.000, 0.500, 0.000)
Sn (0.000, 0.000, 0.500)
Sn (0.500, 0.000, 0.000)

Values from the calculation:
DFT formation energy: -0.023 eV/atom
SG: Pm-3m (221)
Total magnetization: 0.00 μB/f.u.

(15)
Ba3SnGe: relaxed, GGA-PBEsol.

a b c (Å): 6.164 6.164 6.164
angles (deg): 90.00 90.00 90.00
Last column: magnetic moment on the atom in μB.
Positions (direct):
Ge (0.000, 0.000, 0.000)  0.04
Ba (0.000, 0.500, 0.000)  0.03
Ba (0.000, 0.000, 0.500)  0.03
Ba (0.500, 0.000, 0.000)  0.03
Sn (0.500, 0.500, 0.500)  0.21

Values from the calculation:
DFT formation energy: -0.171 eV/atom
SG: Pm-3m (221)
Total magnetization: 1.01 μB/f.u.

(16)
BaSr3Ge: relaxed, GGA-PBEsol.

a b c (Å): 6.184 6.184 6.184
angles (deg): 90.00 90.00 90.00
Positions (direct):
Sr (0.000, 0.500, 0.000)
Sr (0.000, 0.000, 0.500)
Sr (0.500, 0.000, 0.000)
Ge (0.000, 0.000, 0.000)
Ba (0.500, 0.500, 0.500)

Values from the calculation:
DFT formation energy: -0.198 eV/atom
SG: Pm-3m (221)
Total magnetization: 0.00 μB/f.u.

(17)
Ba2SrGe2: relaxed, GGA-PBEsol.

a b c (Å): 5.056 8.219 8.219
angles (deg): 90.00 90.00 90.00
Positions (direct):
Sr (0.000, 0.000, 0.000)
Sr (0.000, 0.500, 0.500)
Ge (0.000, 0.391, 0.891)
Ge (0.000, 0.891, 0.609)
Ge (0.000, 0.609, 0.109)
Ge (0.000, 0.109, 0.391)
Ba (0.500, 0.170, 0.670)
Ba (0.500, 0.670, 0.830)
Ba (0.500, 0.830, 0.330)
Ba (0.500, 0.330, 0.170)

Values from the calculation:
DFT formation energy: -0.500 eV/atom
SG: P4/mbm (127)
Total magnetization: 0.00 μB/f.u.